# Er3AsS2

A relaxed structure of Er3AsS2 (PBE, Alexandria).

**Density of states at the Fermi level**: 2.07 states/eV/f.u.
**Symmetry**: Cmmm
**DFT total energy**: -6.27 eV per atom
**Raw formation energy**: -177.06 kJ per mole of atoms

abc: 5.570 5.573 8.821
angles: 108.41 90.00 90.00
Element x y z (fractional)
S  0.500  0.835  0.669
As  0.000  0.334  0.667
S  0.500  0.165  0.331
Er  0.000  0.500  0.000
S  0.000  0.000  0.000
Er  0.500  0.000  0.000
Er  0.500  0.668  0.336
Er  0.500  0.332  0.664
As  0.000  0.666  0.333
S  0.500  0.500  0.000
Er  0.000  0.835  0.669
Er  0.000  0.165  0.331

***

# Er3AsS3

A relaxed structure of Er3AsS3 (PBE, Alexandria).

**Symmetry**: R-3
**DFT total energy**: -6.17 eV per atom
**Raw formation energy**: -171.46 kJ per mole of atoms

abc: 7.813 7.813 7.935
angles: 60.51 60.51 60.00
Element x y z (fractional)
S  0.126  0.372  0.673
Er  0.073  0.709  0.739
S  0.628  0.171  0.327
As  0.333  0.333  0.001
Er  0.291  0.521  0.261
Er  0.927  0.291  0.261
Er  0.479  0.073  0.739
S  0.171  0.874  0.327
As  0.667  0.667  0.999
Er  0.521  0.927  0.261
Er  0.709  0.479  0.739
S  0.372  0.829  0.673
S  0.874  0.628  0.327
S  0.829  0.126  0.673

***

# Er6As5S

A relaxed structure of Er6As5S (PBE, Alexandria).

**Density of states at the Fermi level**: 2.48 states/eV/f.u.
**Symmetry**: C2/m
**DFT total energy**: -6.19 eV per atom
**Raw formation energy**: -156.81 kJ per mole of atoms

abc: 7.018 7.016 7.012
angles: 59.98 80.41 70.55
Element x y z (fractional)
Er  0.750  0.083  0.333
As  0.500  0.167  0.667
Er  0.749  0.750  0.000
Er  0.250  0.583  0.333
As  0.000  0.333  0.334
As  0.500  0.500  0.000
As  0.500  0.833  0.333
Er  0.251  0.250  0.000
S  0.000  0.000  0.000
As  0.000  0.667  0.666
Er  0.250  0.917  0.667
Er  0.750  0.417  0.667

***

# Er2AsS4

A relaxed structure of Er2AsS4 (PBE, Alexandria).

**Density of states at the Fermi level**: 2.50 states/eV/f.u.
**Symmetry**: I4/mmm
**DFT total energy**: -5.46 eV per atom
**Raw formation energy**: -109.77 kJ per mole of atoms

abc: 6.497 6.497 5.782
angles: 124.18 124.18 90.00
Element x y z (fractional)
S  0.236  0.764  0.000
S  0.764  0.764  0.000
S  0.236  0.236  0.000
Er  0.750  0.250  0.500
Er  0.250  0.750  0.500
As  0.500  0.500  0.000
S  0.764  0.236  0.000

***

# Er7AsS5

A relaxed structure of Er7AsS5 (PBE, Alexandria).

**Density of states at the Fermi level**: 6.17 states/eV/f.u.
**Symmetry**: Cm
**DFT total energy**: -6.13 eV per atom
**Raw formation energy**: -166.41 kJ per mole of atoms

abc: 3.844 6.618 23.164
angles: 91.72 90.00 106.88
Element x y z (fractional)
S  0.721  0.442  0.929
S  0.560  0.120  0.142
Er  0.366  0.731  0.537
S  0.458  0.915  0.643
S  0.273  0.546  0.429
S  0.001  0.001  0.000
Er  0.818  0.637  0.677
Er  0.081  0.163  0.892
Er  0.098  0.195  0.615
S  0.441  0.882  0.858
Er  0.530  0.059  0.753
Er  0.802  0.604  0.821
Er  0.635  0.269  0.463
Er  0.199  0.398  0.179
Er  0.902  0.805  0.385
S  0.542  0.085  0.357
S  0.280  0.560  0.071
Er  0.358  0.717  0.963
S  0.727  0.454  0.571
Er  0.182  0.364  0.323
Er  0.471  0.941  0.247
As  0.806  0.612  0.263
S  0.000  0.000  0.500
Er  0.920  0.839  0.108
Er  0.643  0.285  0.037
As  0.194  0.388  0.737

***

# Er3As2S

A relaxed structure of Er3As2S (PBE, Alexandria).

**Relative energy among the computed polymorphs**: 265.6 meV per atom
**Density of states at the Fermi level**: 3.18 states/eV/f.u.
**Symmetry**: Cmcm
**DFT total energy**: -5.96 eV per atom
**Raw formation energy**: -138.85 kJ per mole of atoms

abc: 5.628 8.288 8.288
angles: 119.65 90.00 90.00
Element x y z (fractional)
Er  0.493  0.167  0.495
S  0.993  0.838  0.838
As  0.493  0.833  0.503
Er  0.493  0.495  0.167
Er  0.993  0.161  0.161
Er  0.493  0.839  0.839
Er  0.993  0.833  0.505
Er  0.993  0.505  0.833
As  0.993  0.167  0.497
As  0.993  0.497  0.167
S  0.493  0.162  0.162
As  0.493  0.503  0.833

***

What is the raw formation energy in the fourth record? -109.77 kJ per mole of atoms